Ti5Al4Cu: optimized geometry, PBE-GGA.

Density (Mg/m³): 4.305
M_tot (μB per cell): 0.0
ΔE_f (kJ/mol of atoms): -32.8
Energy above the lowest structure with this stoichiometry (meV per atom): 0

Lattice parameters (Å, degrees): 2.819 2.819 19.937 90.00 90.00 90.00
Space group P4/mmm (No. 123)
Asymmetric unit:
Ti (0.000, 0.000, 0.000) [1 per cell]
Ti (0.000, 0.000, 0.205) [2 per cell]
Ti (0.000, 0.000, 0.407) [2 per cell]
Al (0.500, 0.500, 0.103) [2 per cell]
Al (0.500, 0.500, 0.307) [2 per cell]
Cu (0.500, 0.500, 0.500) [1 per cell]

TiAlCu: optimized geometry, PBE-GGA.

Density (Mg/m³): 5.168
M_tot (μB per cell): 0.0
ΔE_f (kJ/mol of atoms): -23.3

Lattice parameters (Å, degrees): 9.478 4.056 5.437 90.00 121.67 90.00
Space group Cm (No. 8)
Asymmetric unit:
Ti (0.000, 0.000, 0.000) [2 per cell]
Ti (0.153, 0.500, 0.819) [2 per cell]
Al (0.304, 0.000, 0.629) [2 per cell]
Al (0.442, 0.500, 0.446) [2 per cell]
Cu (0.150, 0.500, 0.345) [2 per cell]
Cu (0.339, 0.000, 0.138) [2 per cell]

TmTiAlCu: optimized geometry, PBE-GGA.

Density (Mg/m³): 6.870
M_tot (μB per cell): 4.5
ΔE_f (kJ/mol of atoms): -14.4

Lattice parameters (Å, degrees): 6.673 6.673 6.673 90.00 90.00 90.00
Space group F-43m (No. 216)
Asymmetric unit:
Tm (0.000, 0.000, 0.000) [4 per cell]
Ti (0.000, 0.000, 0.500) [4 per cell]
Al (0.250, 0.250, 0.750) [4 per cell]
Cu (0.250, 0.250, 0.250) [4 per cell]

Ti2Al5VCu2: optimized geometry, PBE-GGA.

Density (Mg/m³): 4.457
M_tot (μB per cell): 0.0
ΔE_f (kJ/mol of atoms): -14.0

Lattice parameters (Å, degrees): 10.066 10.066 3.005 90.00 90.00 90.00
Space group P4/mbm (No. 127)
Asymmetric unit:
Ti (0.176, 0.324, 0.000) [4 per cell]
Al (0.000, 0.500, 0.500) [2 per cell]
Al (0.041, 0.797, 0.500) [8 per cell]
V (0.000, 0.000, 0.000) [2 per cell]
Cu (0.134, 0.634, 0.000) [4 per cell]

TiAlVCu: optimized geometry, PBE-GGA.

Density (Mg/m³): 5.326
M_tot (μB per cell): 12.3
ΔE_f (kJ/mol of atoms): 0.1

Lattice parameters (Å, degrees): 6.181 6.181 6.181 90.00 90.00 90.00
Space group F-43m (No. 216)
Asymmetric unit:
Ti (0.000, 0.000, 0.000) [4 per cell]
Al (0.000, 0.000, 0.500) [4 per cell]
V (0.250, 0.250, 0.250) [4 per cell]
Cu (0.250, 0.250, 0.750) [4 per cell]

Y2TiAlCu: optimized geometry, PBE-GGA.

Density (Mg/m³): 4.043
M_tot (μB per cell): 0.0
ΔE_f (kJ/mol of atoms): 67.3

Lattice parameters (Å, degrees): 5.324 5.324 4.582 90.00 90.00 90.00
Space group P4/mmm (No. 123)
Asymmetric unit:
Y (0.000, 0.500, 0.000) [2 per cell]
Ti (0.000, 0.000, 0.000) [1 per cell]
Al (0.500, 0.500, 0.500) [1 per cell]
Cu (0.000, 0.000, 0.500) [1 per cell]

Ti2AlZn2Cu7: optimized geometry, PBE-GGA.

Density (Mg/m³): 6.763
M_tot (μB per cell): 0.0
ΔE_f (kJ/mol of atoms): 9.2

Lattice parameters (Å, degrees): 4.746 4.742 15.387 90.00 97.98 90.00
Space group C2/m (No. 12)
Asymmetric unit:
Ti (0.127, 0.000, 0.276) [4 per cell]
Al (0.000, 0.500, 0.000) [2 per cell]
Zn (0.176, 0.500, 0.375) [4 per cell]
Cu (0.000, 0.000, 0.000) [2 per cell]
Cu (0.189, 0.250, 0.865) [8 per cell]
Cu (0.222, 0.000, 0.457) [4 per cell]

ZrTiAl2Cu: optimized geometry, PBE-GGA.

Density (Mg/m³): 4.562
M_tot (μB per cell): 0.0
ΔE_f (kJ/mol of atoms): 17.5

Lattice parameters (Å, degrees): 4.441 4.441 4.736 90.00 90.00 90.00
Space group P4/mmm (No. 123)
Asymmetric unit:
Zr (0.000, 0.000, 0.000) [1 per cell]
Ti (0.500, 0.500, 0.000) [1 per cell]
Al (0.000, 0.500, 0.500) [2 per cell]
Cu (0.500, 0.500, 0.500) [1 per cell]

AlTl2Cu2: optimized geometry, PBE-GGA.

Density (Mg/m³): 9.456
M_tot (μB per cell): 0.0
ΔE_f (kJ/mol of atoms): 23.9

Lattice parameters (Å, degrees): 6.805 6.805 4.270 90.00 90.00 90.00
Space group P4/mbm (No. 127)
Asymmetric unit:
Al (0.000, 0.000, 0.000) [2 per cell]
Tl (0.172, 0.328, 0.500) [4 per cell]
Cu (0.135, 0.635, 0.000) [4 per cell]

Al2TlCu: optimized geometry, PBE-GGA.

Density (Mg/m³): 6.652
M_tot (μB per cell): 0.0
ΔE_f (kJ/mol of atoms): 15.0
Energy above the lowest structure with this stoichiometry (meV per atom): 43

Lattice parameters (Å, degrees): 2.979 4.152 12.991 90.00 90.00 90.00
Space group Imm2 (No. 44)
Asymmetric unit:
Al (0.000, 0.000, 0.000) [2 per cell]
Al (0.000, 0.500, 0.152) [2 per cell]
Tl (0.000, 0.000, 0.361) [2 per cell]
Cu (0.000, 0.500, 0.659) [2 per cell]

AlTlCu3: optimized geometry, PBE-GGA.

Density (Mg/m³): 6.969
M_tot (μB per cell): 0.0
ΔE_f (kJ/mol of atoms): 50.3
Energy above the lowest structure with this stoichiometry (meV per atom): 0

Lattice parameters (Å, degrees): 4.650 4.650 4.650 90.00 90.00 90.00
Space group Pm-3m (No. 221)
Asymmetric unit:
Al (0.000, 0.000, 0.000) [1 per cell]
Tl (0.500, 0.500, 0.500) [1 per cell]
Cu (0.000, 0.000, 0.500) [3 per cell]

Al2TlCu: optimized geometry, PBE-GGA.

Density (Mg/m³): 6.507
M_tot (μB per cell): 0.0
ΔE_f (kJ/mol of atoms): 25.7
Energy above the lowest structure with this stoichiometry (meV per atom): 154

Lattice parameters (Å, degrees): 4.377 4.377 17.151 90.00 90.00 90.00
Space group I-42d (No. 122)
Asymmetric unit:
Al (0.180, 0.250, 0.125) [8 per cell]
Tl (0.000, 0.000, 0.500) [4 per cell]
Cu (0.000, 0.000, 0.000) [4 per cell]

Al2TlCu: optimized geometry, PBE-GGA.

Density (Mg/m³): 6.683
M_tot (μB per cell): 0.0
ΔE_f (kJ/mol of atoms): 21.9
Energy above the lowest structure with this stoichiometry (meV per atom): 114

Lattice parameters (Å, degrees): 3.829 4.243 5.150 90.00 107.09 90.00
Space group P2/m (No. 10)
Asymmetric unit:
Al (0.145, 0.000, 0.284) [2 per cell]
Tl (0.500, 0.500, 0.000) [1 per cell]
Cu (0.000, 0.500, 0.500) [1 per cell]

Al2TlCu: optimized geometry, PBE-GGA.

Density (Mg/m³): 7.022
M_tot (μB per cell): 0.0
ΔE_f (kJ/mol of atoms): 35.1
Energy above the lowest structure with this stoichiometry (meV per atom): 251

Lattice parameters (Å, degrees): 6.727 6.727 6.727 90.00 90.00 90.00
Space group F-43m (No. 216)
Asymmetric unit:
Al (0.000, 0.000, 0.000) [4 per cell]
Al (0.250, 0.250, 0.250) [4 per cell]
Tl (0.250, 0.250, 0.750) [4 per cell]
Cu (0.000, 0.000, 0.500) [4 per cell]

Al2TlCu: optimized geometry, PBE-GGA.

Density (Mg/m³): 7.109
M_tot (μB per cell): 0.0
ΔE_f (kJ/mol of atoms): 15.5
Energy above the lowest structure with this stoichiometry (meV per atom): 48

Lattice parameters (Å, degrees): 3.061 3.061 8.025 90.00 90.00 90.00
Space group P4mm (No. 99)
Asymmetric unit:
Al (0.000, 0.000, 0.000) [1 per cell]
Al (0.500, 0.500, 0.240) [1 per cell]
Tl (0.500, 0.500, 0.682) [1 per cell]
Cu (0.000, 0.000, 0.410) [1 per cell]

Al2TlCu: optimized geometry, PBE-GGA.

Density (Mg/m³): 7.293
M_tot (μB per cell): 0.0
ΔE_f (kJ/mol of atoms): 27.1
Energy above the lowest structure with this stoichiometry (meV per atom): 169

Lattice parameters (Å, degrees): 4.141 4.141 8.546 90.00 90.00 90.00
Space group I4/mmm (No. 139)
Asymmetric unit:
Al (0.000, 0.500, 0.250) [4 per cell]
Tl (0.000, 0.000, 0.000) [2 per cell]
Cu (0.000, 0.000, 0.500) [2 per cell]

Al2TlCu: optimized geometry, PBE-GGA.

Density (Mg/m³): 6.921
M_tot (μB per cell): 0.0
ΔE_f (kJ/mol of atoms): 14.2
Energy above the lowest structure with this stoichiometry (meV per atom): 35

Lattice parameters (Å, degrees): 2.920 3.664 7.298 90.00 98.49 90.00
Space group Pm (No. 6)
Asymmetric unit:
Al (0.000, 0.000, 0.000) [1 per cell]
Al (0.416, 0.500, 0.779) [1 per cell]
Tl (0.035, 0.000, 0.447) [1 per cell]
Cu (0.560, 0.500, 0.151) [1 per cell]

Al4TlCu: optimized geometry, PBE-GGA.

Density (Mg/m³): 5.431
M_tot (μB per cell): 0.0
ΔE_f (kJ/mol of atoms): 31.1

Lattice parameters (Å, degrees): 7.717 7.717 7.717 90.00 90.00 90.00
Space group F-43m (No. 216)
Asymmetric unit:
Al (0.124, 0.124, 0.124) [16 per cell]
Tl (0.000, 0.000, 0.500) [4 per cell]
Cu (0.250, 0.250, 0.750) [4 per cell]

Al2TlCu: optimized geometry, PBE-GGA.

Density (Mg/m³): 6.849
M_tot (μB per cell): 0.0
ΔE_f (kJ/mol of atoms): 16.3
Energy above the lowest structure with this stoichiometry (meV per atom): 57

Lattice parameters (Å, degrees): 8.629 3.246 5.751 90.00 104.32 90.00
Space group Cm (No. 8)
Asymmetric unit:
Al (0.000, 0.000, 0.000) [2 per cell]
Al (0.245, 0.000, 0.759) [2 per cell]
Tl (0.470, 0.000, 0.449) [2 per cell]
Cu (0.230, 0.500, 0.102) [2 per cell]

Al2TlCu: optimized geometry, PBE-GGA.

Density (Mg/m³): 7.009
M_tot (μB per cell): 0.0
ΔE_f (kJ/mol of atoms): 28.4
Energy above the lowest structure with this stoichiometry (meV per atom): 182

Lattice parameters (Å, degrees): 5.557 10.562 3.157 90.00 124.61 90.00
Space group C2/m (No. 12)
Asymmetric unit:
Al (0.250, 0.250, 0.000) [4 per cell]
Tl (0.000, 0.000, 0.500) [2 per cell]
Cu (0.000, 0.500, 0.500) [2 per cell]